Entry from Alexandria: a relaxed NaTb2MgSe4 crystal (PBE).

```
NaTb2MgSe4
1.0
4.040 0.000 0.000
0.000 7.150 -0.211
0.000 2.439 6.595
Se Na Mg Tb
4 1 1 2
Direct
0.500 0.260 0.739 Se
0.500 0.740 0.261 Se
0.000 0.250 0.259 Se
0.000 0.750 0.741 Se
0.500 0.500 0.000 Na
0.000 0.500 0.500 Mg
0.500 0.000 0.500 Tb
0.000 0.000 0.000 Tb
```

Summary:
total DFT energy (no corrections)	-38.56	eV per formula unit
Fermi-level density of states	3.01	states/eV/f.u.
formation energy without anion corrections	-1.556	eV per atom
space group	No. 10

---

Entry from Alexandria: a relaxed Pm2PuAg crystal (PBE).

```
Pm2PuAg
1.0
3.620 0.000 0.000
0.000 3.620 0.000
0.000 0.000 8.639
Ag Pm Pu
1 2 1
Direct
0.500 0.500 0.000 Ag
0.000 0.000 0.224 Pm
0.000 0.000 0.776 Pm
0.500 0.500 0.500 Pu
```

Summary:
total DFT energy (no corrections)	-26.73	eV per formula unit
Fermi-level density of states	9.31	states/eV/f.u.
energy of formation from the pure elements	-5	kJ/mol of formula units
space group	No. 123
offset from the most stable computed form	0.0	meV per atom

---

Entry from Alexandria: a relaxed BaBePPd crystal (PBE).

```
BaBePPd
1.0
3.852 0.000 0.000
0.000 3.852 0.000
0.000 0.000 11.330
Be P Pd Ba
2 2 2 2
Direct
0.750 0.250 0.000 Be
0.250 0.750 0.000 Be
0.250 0.250 0.107 P
0.750 0.750 0.893 P
0.750 0.250 0.500 Pd
0.250 0.750 0.500 Pd
0.750 0.750 0.269 Ba
0.250 0.250 0.731 Ba
```

Summary:
total DFT energy (no corrections)	-18.48	eV per formula unit
Fermi-level density of states	0.76	states/eV/f.u.
energy of formation from the pure elements	-215	kJ/mol of formula units
space group	No. 129